This record from the Alexandria database describes a crystal of BeCo relaxed with PBEsol. The functional is meta-GGA SCAN.

The symmetry is No. 227. For the total moment, the calculation gives 2.91 μB per cell. For the formation energy, the calculation gives -30 kJ/mol of formula units.

Geometry as extended XYZ:
```
4
Lattice="-1.970 -2.922 1.145 0.925 -1.745 3.135 -2.171 0.286 2.989" Properties=species:S:1:pos:R:3 pbc="T T T"
Co -2.413 -3.286 5.451
Co -1.608 -2.191 3.634
Be 0.000 0.000 0.000
Be -0.804 -1.095 1.817
```

---

This record from the Alexandria database describes a crystal of BeCo3 relaxed with PBEsol. The functional is meta-GGA SCAN.

The symmetry is No. 123. For the total moment, the calculation gives 4.44 μB per cell. For the formation energy, the calculation gives -32 kJ/mol of formula units.

Geometry as extended XYZ:
```
4
Lattice="2.551 0.000 0.000 0.000 2.551 0.000 0.000 0.000 5.784" Properties=species:S:1:pos:R:3 pbc="T T T"
Co 1.275 1.275 1.314
Co 0.000 0.000 2.892
Co 1.275 1.275 4.470
Be 0.000 0.000 0.000
```

---

This record from the Alexandria database describes a crystal of BeCo3 relaxed with PBEsol. The functional is meta-GGA SCAN.

The symmetry is No. 187. For the total moment, the calculation gives 4.41 μB per cell. For the formation energy, the calculation gives -5 kJ/mol of formula units.

Geometry as extended XYZ:
```
4
Lattice="-1.873 0.653 -1.404 1.986 -0.980 -1.002 -2.964 -6.813 0.787" Properties=species:S:1:pos:R:3 pbc="T T T"
Co -1.557 -5.623 -0.536
Co -1.482 -3.406 0.394
Co -0.008 -2.061 -0.948
Be 0.000 0.000 0.000
```

---

This record from the Alexandria database describes a crystal of Be5Co3 relaxed with PBEsol. The functional is meta-GGA SCAN.

The symmetry is No. 65. For the total moment, the calculation gives 0.00 μB per cell. For the formation energy, the calculation gives -234 kJ/mol of formula units.

Geometry as extended XYZ:
```
8
Lattice="3.587 0.000 0.000 0.000 4.377 -0.024 0.000 -1.238 4.199" Properties=species:S:1:pos:R:3 pbc="T T T"
Be 0.000 -0.619 2.099
Be 1.794 2.273 3.022
Be 0.000 0.000 0.000
Be 0.000 2.189 -0.012
Be 1.794 0.867 1.152
Co 1.794 0.061 3.222
Co 0.000 1.570 2.087
Co 1.794 3.079 0.953
```

---

This record from the Alexandria database describes a crystal of BeCo2 relaxed with PBEsol. The functional is meta-GGA SCAN.

The symmetry is No. 63. For the total moment, the calculation gives 5.07 μB per cell. For the formation energy, the calculation gives -28 kJ/mol of formula units.

Geometry as extended XYZ:
```
6
Lattice="-2.407 -0.655 -0.528 0.931 -3.645 0.275 -0.045 0.429 5.829" Properties=species:S:1:pos:R:3 pbc="T T T"
Co -0.733 -3.043 0.956
Co -0.789 -0.828 4.620
Co 0.025 -2.679 3.206
Co -1.547 -1.192 2.370
Be -1.585 -2.974 4.750
Be 0.063 -0.898 0.826
```

---

This record from the Alexandria database describes a crystal of BeCo2 relaxed with PBEsol. The functional is meta-GGA SCAN.

The symmetry is No. 189. For the total moment, the calculation gives 8.87 μB per cell. For the formation energy, the calculation gives -26 kJ/mol of formula units.

Geometry as extended XYZ:
```
9
Lattice="2.438 0.000 0.000 0.000 6.285 0.000 0.000 -3.143 5.443" Properties=species:S:1:pos:R:3 pbc="T T T"
Co 1.219 -1.982 3.432
Co 1.219 3.963 0.000
Co 0.000 -0.930 1.610
Co 0.000 2.213 3.833
Co 1.219 1.161 2.011
Co 0.000 1.860 0.000
Be 1.219 0.000 0.000
Be 0.000 3.143 1.814
Be 0.000 0.000 3.629
```

---

This record from the Alexandria database describes a crystal of BeCo5 relaxed with PBEsol. The functional is meta-GGA SCAN.

The symmetry is No. 123. For the total moment, the calculation gives 8.15 μB per cell. For the formation energy, the calculation gives -36 kJ/mol of formula units. The energy above the most stable polymorph in this dataset is 0 meV per atom.

Geometry as extended XYZ:
```
6
Lattice="2.484 0.000 0.000 0.000 2.484 0.000 0.000 0.000 9.452" Properties=species:S:1:pos:R:3 pbc="T T T"
Co 1.242 1.242 1.712
Co 1.242 1.242 7.740
Co 0.000 0.000 0.000
Co 0.000 0.000 6.107
Co 0.000 0.000 3.345
Be 1.242 1.242 4.726
```

---

This record from the Alexandria database describes a crystal of Be5Co relaxed with PBEsol. The functional is meta-GGA SCAN.

The symmetry is No. 123. For the total moment, the calculation gives 0.00 μB per cell. For the formation energy, the calculation gives -59 kJ/mol of formula units.

Geometry as extended XYZ:
```
6
Lattice="2.578 0.000 0.000 0.000 2.578 0.000 0.000 0.000 7.334" Properties=species:S:1:pos:R:3 pbc="T T T"
Be 0.000 0.000 4.845
Be 0.000 0.000 0.000
Be 1.289 1.289 6.086
Be 1.289 1.289 1.248
Be 0.000 0.000 2.489
Co 1.289 1.289 3.667
```